Record 1
# Pm2B2N3

A geometry-optimized Pm2B2N3 structure (GGA-PBE, the Alexandria database).

V in Å³ per atom: 11.418
Total DFT energy (no corrections) in eV/cell: -106.858
Calculated density in g cm⁻³: 7.35
ΔE_f (raw) in eV per atom: -0.80

Unit cell a=10.7940 b=2.9065 c=5.1065 alpha=90.00 beta=93.81 gamma=90.00
Closest atoms and distances in Å follow each position.
Space group C2/m (No. 12)
Asymmetric unit:
Pm1 0.1317 0.0000 0.2294 [4 per cell]  6 N 2.51-2.65
B1 0.1021 0.5000 0.7021 [4 per cell]  1 N 1.46
N1 0.0000 0.5000 0.5000 [2 per cell]  2 B 1.46
N2 0.1719 0.0000 0.7466 [4 per cell]  2 B 1.65

---

Record 2
# PmPrBN3

A geometry-optimized PmPrBN3 structure (GGA-PBE, the Alexandria database).

V in Å³ per atom: 14.718
Total DFT energy (no corrections) in eV/cell: -95.136
Calculated density in g cm⁻³: 6.37
ΔE_f (raw) in eV per atom: -1.06

Unit cell a=5.6841 b=5.6841 c=6.3121 alpha=90.00 beta=90.00 gamma=120.00
Closest atoms and distances in Å follow each position.
Space group P6_3/mmc (No. 194)
Asymmetric unit:
Pm1 0.0000 0.0000 0.0000 [2 per cell]  6 N 2.41
Pr1 0.3333 0.6667 0.2500 [2 per cell]  6 N 2.85, 2 B 3.16
B1 0.3333 0.6667 0.7500 [2 per cell]  3 N 1.46
N1 0.1852 0.3703 0.7500 [6 per cell]  1 B 1.46

---

Record 3
# PmPr3B2N6

A geometry-optimized PmPr3B2N6 structure (GGA-PBE, the Alexandria database).

V in Å³ per atom: 15.196
Total DFT energy (no corrections) in eV/cell: -95.148
Calculated density in g cm⁻³: 6.13
ΔE_f (raw) in eV per atom: -1.06

Unit cell a=5.7138 b=5.7138 c=6.4496 alpha=90.00 beta=90.00 gamma=120.00
Closest atoms and distances in Å follow each position.
Space group P-3m1 (No. 164)
Asymmetric unit:
Pm1 0.0000 0.0000 0.0000 [1 per cell]  6 N 2.37
Pr1 0.0000 0.0000 0.5000 [1 per cell]  6 N 2.54
Pr2 0.3333 0.6667 0.1616 [2 per cell]  1 B 2.68, 9 N 2.90-2.92
B1 0.3333 0.6667 0.7453 [2 per cell]  3 N 1.46
N1 0.1867 0.3735 0.7695 [6 per cell]  1 B 1.46

---

Record 4
# Pm3B2Rh2N3

A geometry-optimized Pm3B2Rh2N3 structure (GGA-PBE, the Alexandria database).

V in Å³ per atom: 14.234
Total DFT energy (no corrections) in eV/cell: -158.216
Calculated density in g cm⁻³: 8.22
ΔE_f (raw) in eV per atom: -1.18

Unit cell a=3.7660 b=3.7660 c=20.0723 alpha=90.00 beta=90.00 gamma=90.00
Closest atoms and distances in Å follow each position.
Space group I4/mmm (No. 139)
Asymmetric unit:
Pm1 0.0000 0.0000 0.0000 [2 per cell]  6 N 2.42-2.66
Pm2 0.0000 0.0000 0.3763 [4 per cell]  5 N 2.48-2.66
B1 0.0000 0.0000 0.1938 [4 per cell]  1 N 1.47
Rh1 0.0000 0.5000 0.2500 [4 per cell]  4 B 2.20
N1 0.0000 0.0000 0.1204 [4 per cell]  1 B 1.47
N2 0.0000 0.0000 0.5000 [2 per cell]  6 Pm 2.48-2.66

---

Record 5
# Pm3B2RhN6

A geometry-optimized Pm3B2RhN6 structure (GGA-PBE, the Alexandria database).

V in Å³ per atom: 12.996
Total DFT energy (no corrections) in eV/cell: -94.710
Calculated density in g cm⁻³: 6.85
ΔE_f (raw) in eV per atom: -0.82

Unit cell a=5.3538 b=5.3538 c=6.2823 alpha=90.00 beta=90.00 gamma=120.00
Closest atoms and distances in Å follow each position.
Space group P-3m1 (No. 164)
Asymmetric unit:
Pm1 0.0000 0.0000 0.0000 [1 per cell]  6 N 2.41
Pm2 0.3333 0.6667 0.6749 [2 per cell]  1 B 2.52, 6 N 2.69
B1 0.3333 0.6667 0.2736 [2 per cell]  3 N 1.45
Rh1 0.0000 0.0000 0.5000 [1 per cell]  6 N 2.13
N1 0.1767 0.3533 0.2821 [6 per cell]  1 B 1.45

---

Record 6
# Pm3B2RuN6

A geometry-optimized Pm3B2RuN6 structure (GGA-PBE, the Alexandria database).

V in Å³ per atom: 12.930
Total DFT energy (no corrections) in eV/cell: -96.867
Calculated density in g cm⁻³: 6.87
ΔE_f (raw) in eV per atom: -0.84

Unit cell a=5.3649 b=5.3649 c=6.2247 alpha=90.00 beta=90.00 gamma=120.00
Closest atoms and distances in Å follow each position.
Space group P-3m1 (No. 164)
Asymmetric unit:
Pm1 0.0000 0.0000 0.0000 [1 per cell]  6 N 2.43
Pm2 0.3333 0.6667 0.6692 [2 per cell]  1 B 2.50, 9 N 2.70-2.79
B1 0.3333 0.6667 0.2682 [2 per cell]  3 N 1.45
Ru1 0.0000 0.0000 0.5000 [1 per cell]  6 N 2.12
N1 0.1775 0.3550 0.2860 [6 per cell]  1 B 1.45